Compound: Sc4ZnIn
Source: Alexandria via LeMat-Bulk
Functional: GGA-PBE
Structure: relaxed

Calculated values
Energy above the most stable polymorph in this dataset in eV per formula unit: 1.52

abc: 5.817 5.817 5.817
angles: 60.00 60.00 60.00
Fractional coordinates of all 6 atoms:
1 Sc 0.125 0.125 0.125
2 Sc 0.125 0.125 0.624
3 Sc 0.125 0.624 0.125
4 Sc 0.624 0.125 0.125
5 Zn 0.750 0.750 0.750
6 In 0.500 0.500 0.500